# 1
This record from the Alexandria database describes a geometry-optimized Sc2TeH2 structure. The functional is PBE.

Unit cell a=3.5920 b=3.5920 c=6.2326 alpha=73.25 beta=73.25 gamma=90.00
Each line ends with the local moment (μB).
Positions (direct):
Sc1 0.3547 0.3547 0.2905  0.13
Sc2 0.6453 0.6453 0.7095  0.13
H1 0.7500 0.2500 0.5000  0.00
H2 0.2500 0.7500 0.5000  0.00
Te1 0.0000 0.0000 0.0000  -0.01

ΔE to the lowest computed polymorph ... 0 meV per atom
VASP energy ... -26.1 eV for the cell shown

# 2
This record from the Alexandria database describes a geometry-optimized ScTe2H structure. The functional is PBE.

Unit cell a=7.4966 b=7.4966 c=7.4966 alpha=33.09 beta=33.09 gamma=33.09
Positions (direct):
Sc1 0.5000 0.5000 0.5000
H1 0.0000 0.0000 0.0000
Te1 0.0919 0.0919 0.0919
Te2 0.9081 0.9081 0.9081

ΔE to the lowest computed polymorph ... 0 meV per atom
VASP energy ... -18.5 eV for the cell shown

# 3
This record from the Alexandria database describes a geometry-optimized Sc6Te3H structure. The functional is PBE.

Unit cell a=5.5662 b=9.0161 c=9.0161 alpha=104.89 beta=90.00 gamma=90.00
Positions (direct):
Sc1 0.1367 0.7436 0.5897
Sc2 0.6367 0.5897 0.7436
Sc3 0.2461 0.4285 0.9061
Sc4 0.7461 0.9061 0.4285
Sc5 0.1494 0.0702 0.9298
Sc6 0.7574 0.2372 0.7628
Sc7 0.2574 0.7628 0.2372
Sc8 0.6494 0.9298 0.0702
Sc9 0.2461 0.0939 0.5715
Sc10 0.7461 0.5715 0.0939
Sc11 0.1367 0.4103 0.2564
Sc12 0.6367 0.2564 0.4103
Te1 0.5630 0.9209 0.7427
Te2 0.0630 0.7427 0.9209
Te3 0.0643 0.4137 0.5863
Te4 0.5643 0.5863 0.4137
Te5 0.0630 0.0791 0.2573
Te6 0.5630 0.2573 0.0791
H1 0.1224 0.2081 0.7919
H2 0.6224 0.7919 0.2081

VASP energy ... -115.2 eV for the cell shown

# 4
This record from the Alexandria database describes a geometry-optimized Sc2TeH structure. The functional is PBE.

Unit cell a=6.6620 b=6.6620 c=5.7135 alpha=54.34 beta=54.34 gamma=90.00
Positions (direct):
Sc1 0.5246 0.1250 0.2500
Sc2 0.2254 0.6250 0.2500
Sc3 0.3750 0.4754 0.7500
Sc4 0.8750 0.7746 0.7500
H1 0.5000 0.5000 0.0000
H2 0.2500 0.7500 0.5000
Te1 0.0000 0.0000 0.0000
Te2 0.7500 0.2500 0.5000

ΔE to the lowest computed polymorph ... 33 meV per atom
VASP energy ... -44.4 eV for the cell shown